Material: AcAgBr
Method: DFT, GGA-PBE
State: optimized geometry

## Properties
The value obtained for the density of states at the Fermi level is 0.4553 states/eV per atom. For the formation energy from raw total energies, the calculation gives -2.96 eV per formula unit. As for the volume: 217.0 Å³ per cell. Its space group is No. 12. As for the calculated density: 6.35 g/cm3.

abc: 4.663 4.663 11.445
angles: 91.00 91.00 60.73
Sites, in units of the cell vectors:
1 Ac 0.017 0.017 0.317
2 Ac 0.983 0.983 0.683
3 Br 0.319 0.319 0.848
4 Br 0.681 0.681 0.152
5 Ag 0.333 0.333 0.496
6 Ag 0.667 0.667 0.504